[1]
# Rb3SnBr6 | Alexandria via LeMat-Bulk | PBE | optimized geometry
data_Rb3SnBr6
_symmetry_space_group_name_H-M 'P 1 21/c 1'
_symmetry_Int_Tables_number 14
_cell_length_a 8.165
_cell_length_b 8.652
_cell_length_c 14.262
_cell_angle_alpha 90.00
_cell_angle_beta 124.91
_cell_angle_gamma 90.00
loop_
_symmetry_equiv_pos_as_xyz
'x,y,z'
'-x,-y,-z'
'-x,y+1/2,-z+1/2'
'x,-y+1/2,z+1/2'
loop_
_atom_site_label
_atom_site_type_symbol
_atom_site_fract_x
_atom_site_fract_y
_atom_site_fract_z
_atom_site_occupancy
Rb1 Rb 0.000 0.000 0.000 1
Rb2 Rb 0.278 0.076 0.749 1
Sn1 Sn 0.500 0.000 0.500 1
Br1 Br 0.155 0.047 0.277 1
Br2 Br 0.279 0.677 0.057 1
Br3 Br 0.405 0.228 0.071 1
# **Formation energy from raw total energies**: -1.32 eV per atom
# **Electronic total energy**: -3.01 eV per atom
# **Mass density**: 3.44 g/cm³
# **Density of states at the Fermi level**: 13.733 states/eV/cell

---

[2]
# Cs3SrOs | Alexandria via LeMat-Bulk | PBE | optimized geometry
data_Cs3SrOs
_symmetry_space_group_name_H-M 'P m -3 m'
_symmetry_Int_Tables_number 221
_symmetry_space_group_name_Hall '-P 4 2 3'
_cell_length_a 6.537
_cell_length_b 6.537
_cell_length_c 6.537
_cell_angle_alpha 90.00
_cell_angle_beta 90.00
_cell_angle_gamma 90.00
loop_
_atom_site_label
_atom_site_type_symbol
_atom_site_fract_x
_atom_site_fract_y
_atom_site_fract_z
_atom_site_occupancy
Cs1 Cs 0.000 0.000 0.500 1
Sr1 Sr 0.500 0.500 0.500 1
Os1 Os 0.000 0.000 0.000 1
# **ΔH_f (0 K)**: 1232 meV per atom
# **Electronic total energy**: -1.86 eV per atom
# **Mass density**: 4.02 g/cm³
# **Density of states at the Fermi level**: 6.859 states/eV/cell

---

density of states at the Fermi level of number 1 (Rb3SnBr6)? 13.733 states/eV/cell

---

The highest electronic total energy belongs to which entry? Cs3SrOs

---

Among the records above, which one has the highest electronic total energy? Cs3SrOs

---

Which value of electronic total energy does entry 1 give? -3.01 eV per atom